DFT (PBE-GGA) results for an optimized crystal structure of Sr2ZnTe2.

Computed properties:
Fermi-level density of states = 0.245 states/eV per atom
total energy = -32.32 eV for the cell shown
distance to the lowest polymorph of the same formula = 0 meV/atom
raw formation energy = -1.047 eV per atom

a = 9.046 Å, b = 9.046 Å, c = 4.237 Å
α = 90.00°, β = 90.00°, γ = 90.00°
Fractional positions:
Sr: 0.153 0.653 0.500
Sr: 0.653 0.847 0.500
Sr: 0.847 0.347 0.500
Sr: 0.347 0.153 0.500
Zn: 0.000 0.000 0.000
Zn: 0.500 0.500 0.000
Te: 0.349 0.849 0.000
Te: 0.849 0.651 0.000
Te: 0.651 0.151 0.000
Te: 0.151 0.349 0.000